A plane-wave DFT calculation with PBE was carried out for an optimized crystal structure of CsGe4Br8.

Computed properties:
As for the symmetry: F-43m. As for the theoretical density: 3486 kg/m³. The value obtained for the uncorrected formation energy is -0.55 eV/atom. The value obtained for the total magnetic moment is 0.00 μB/cell. The value obtained for the total energy is -3.070 eV per atom. As for the energy above the most stable polymorph in this dataset: 6.4 kJ per mole of atoms.

a b c (Å): 8.945 8.945 8.945
angles (deg): 60.00 60.00 60.00
Positions (direct):
1 Br 0.573 0.142 0.142
2 Br 0.142 0.573 0.142
3 Br 0.600 0.199 0.600
4 Br 0.600 0.600 0.600
5 Br 0.142 0.142 0.142
6 Br 0.600 0.600 0.199
7 Br 0.199 0.600 0.600
8 Br 0.142 0.142 0.573
9 Ge 0.371 0.887 0.371
10 Ge 0.887 0.371 0.371
11 Ge 0.371 0.371 0.371
12 Ge 0.371 0.371 0.887
13 Cs 0.750 0.750 0.750



A plane-wave DFT calculation with PBE was carried out for an optimized crystal structure of Cs12Ge3Br5.

Computed properties:
As for the symmetry: Ia-3d. As for the theoretical density: 2870 kg/m³. The value obtained for the uncorrected formation energy is -0.74 eV/atom. The value obtained for the total magnetic moment is 20.02 μB/cell. The value obtained for the total energy is -2.365 eV per atom.

a b c (Å): 18.806 18.806 18.806
angles (deg): 109.47 109.47 109.47
Last column: magnetic moment on the atom in μB.
Positions (direct):
1 Cs 0.416 0.138 0.587  0.02
2 Cs 0.584 0.721 0.670  0.02
3 Cs 0.449 0.670 0.087  0.02
4 Cs 0.551 0.221 0.138  0.02
5 Cs 0.638 0.051 0.221  0.02
6 Cs 0.721 0.584 0.170  0.02
7 Cs 0.949 0.362 0.279  0.02
8 Cs 0.084 0.913 0.362  0.02
9 Cs 0.830 0.913 0.051  0.02
10 Cs 0.638 0.587 0.916  0.02
11 Cs 0.779 0.330 0.916  0.02
12 Cs 0.449 0.779 0.862  0.02
13 Cs 0.913 0.084 0.862  0.02
14 Cs 0.916 0.087 0.638  0.02
15 Cs 0.721 0.138 0.051  0.02
16 Cs 0.670 0.449 0.587  0.02
17 Cs 0.221 0.551 0.638  0.02
18 Cs 0.416 0.279 0.330  0.02
19 Cs 0.138 0.721 0.551  0.02
20 Cs 0.584 0.862 0.413  0.02
21 Cs 0.170 0.084 0.721  0.02
22 Cs 0.949 0.587 0.170  0.02
23 Cs 0.138 0.416 0.087  0.02
24 Cs 0.779 0.449 0.362  0.02
25 Cs 0.362 0.413 0.084  0.02
26 Cs 0.221 0.670 0.084  0.02
27 Cs 0.330 0.551 0.413  0.02
28 Cs 0.830 0.916 0.279  0.02
29 Cs 0.279 0.416 0.830  0.02
30 Cs 0.087 0.170 0.449  0.02
31 Cs 0.413 0.362 0.584  0.02
32 Cs 0.362 0.949 0.779  0.02
33 Cs 0.279 0.862 0.949  0.02
34 Cs 0.084 0.170 0.221  0.02
35 Cs 0.551 0.330 0.913  0.02
36 Cs 0.051 0.638 0.721  0.02
37 Cs 0.862 0.279 0.449  0.02
38 Cs 0.087 0.916 0.138  0.02
39 Cs 0.862 0.584 0.913  0.02
40 Cs 0.330 0.779 0.416  0.02
41 Cs 0.051 0.413 0.830  0.02
42 Cs 0.670 0.221 0.584  0.02
43 Cs 0.413 0.051 0.330  0.02
44 Cs 0.587 0.949 0.670  0.02
45 Cs 0.587 0.638 0.416  0.02
46 Cs 0.913 0.830 0.551  0.02
47 Cs 0.916 0.830 0.779  0.02
48 Cs 0.170 0.087 0.949  0.02
49 Ge 0.750 0.875 0.625  0.49
50 Ge 0.875 0.125 0.250  0.49
51 Ge 0.375 0.750 0.625  0.49
52 Ge 0.875 0.750 0.125  0.49
53 Ge 0.625 0.250 0.375  0.49
54 Ge 0.625 0.375 0.750  0.49
55 Ge 0.125 0.250 0.875  0.49
56 Ge 0.750 0.375 0.125  0.49
57 Ge 0.125 0.875 0.750  0.49
58 Ge 0.250 0.625 0.875  0.49
59 Ge 0.250 0.125 0.375  0.49
60 Ge 0.375 0.625 0.250  0.49
61 Br 0.375 0.125 0.750  0.00
62 Br 0.625 0.875 0.250  0.00
63 Br 0.125 0.375 0.250  0.00
64 Br 0.500 0.000 0.000  0.00
65 Br 0.000 0.000 0.000  0.00
66 Br 0.125 0.750 0.375  0.00
67 Br 0.500 0.500 0.500  0.00
68 Br 0.625 0.750 0.875  0.00
69 Br 0.000 0.500 0.500  0.00
70 Br 0.250 0.875 0.125  0.00
71 Br 0.000 0.000 0.500  0.00
72 Br 0.875 0.625 0.750  0.00
73 Br 0.875 0.250 0.625  0.00
74 Br 0.000 0.500 0.000  0.00
75 Br 0.250 0.375 0.625  0.00
76 Br 0.500 0.000 0.500  0.00
77 Br 0.500 0.500 0.000  0.00
78 Br 0.750 0.625 0.375  0.00
79 Br 0.750 0.125 0.875  0.00
80 Br 0.375 0.250 0.125  0.00



A plane-wave DFT calculation with PBE was carried out for an optimized crystal structure of CsGe2Br5.

Computed properties:
As for the symmetry: Immm. As for the theoretical density: 4146 kg/m³. The value obtained for the uncorrected formation energy is -0.82 eV/atom. The value obtained for the total magnetic moment is 0.00 μB/cell. The value obtained for the total energy is -3.127 eV per atom. As for the energy above the most stable polymorph in this dataset: 4.9 kJ per mole of atoms.

a b c (Å): 4.131 9.581 9.581
angles (deg): 47.43 77.55 77.55
Positions (direct):
1 Br 0.349 0.400 0.903
2 Br 0.651 0.600 0.097
3 Br 0.651 0.097 0.600
4 Br 0.349 0.903 0.400
5 Br 0.000 0.500 0.500
6 Cs 0.000 0.000 0.000
7 Ge 0.156 0.344 0.344
8 Ge 0.844 0.656 0.656



A plane-wave DFT calculation with PBE was carried out for an optimized crystal structure of CsGe2Br7.

Computed properties:
As for the symmetry: Cmmm. As for the theoretical density: 3659 kg/m³. The value obtained for the uncorrected formation energy is -0.66 eV/atom. The value obtained for the total magnetic moment is 0.00 μB/cell. The value obtained for the total energy is -2.840 eV per atom.

a b c (Å): 4.637 8.282 10.729
angles (deg): 112.70 90.00 90.00
Positions (direct):
1 Br 0.500 0.323 0.265
2 Br 0.500 0.942 0.265
3 Br 0.000 0.304 0.608
4 Br 0.000 0.696 0.392
5 Br 0.500 0.677 0.735
6 Br 0.500 0.058 0.735
7 Br 0.500 0.500 0.000
8 Cs 0.000 0.000 0.000
9 Ge 0.500 0.368 0.735
10 Ge 0.500 0.632 0.265



Q: What is the theoretical density in the second record?
A: 2870 kg/m³



Q: Which of these has the highest uncorrected formation energy?
A: CsGe4Br8



Q: Which of these has the lowest theoretical density?
A: Cs12Ge3Br5